[1]
A relaxed Sr4CePrO8 crystal, computed with PBE.

a = 3.674 Å, b = 6.211 Å, c = 10.469 Å
α = 89.86°, β = 90.00°, γ = 90.00°
Element x y z (fractional)
Sr 0.500 0.436 0.822
Sr 0.500 0.564 0.178
Sr 0.500 0.936 0.677
Sr 0.500 0.064 0.323
Ce 0.000 0.500 0.500
Pr 0.000 0.000 0.000
O 0.000 0.643 0.691
O 0.000 0.357 0.309
O 0.000 0.149 0.793
O 0.000 0.851 0.207
O 0.500 0.275 0.541
O 0.500 0.725 0.459
O 0.500 0.760 0.956
O 0.500 0.240 0.044

Calculated values
DOS at the Fermi energy   8.00 states/eV/f.u.
Space group   No. 10
Raw formation energy   -2.878 eV per atom

=====

[2]
A relaxed CePrTeO6 crystal, computed with PBE.

a = 5.765 Å, b = 5.765 Å, c = 9.867 Å
α = 90.00°, β = 90.00°, γ = 120.00°
Element x y z (fractional)
Ce 0.333 0.667 0.250
Ce 0.667 0.333 0.750
Pr 0.000 0.000 0.000
Pr 0.000 0.000 0.500
Te 0.667 0.333 0.250
Te 0.333 0.667 0.750
O 0.662 0.631 0.138
O 0.968 0.338 0.138
O 0.338 0.968 0.638
O 0.032 0.662 0.862
O 0.369 0.338 0.362
O 0.968 0.631 0.362
O 0.631 0.968 0.862
O 0.662 0.032 0.362
O 0.032 0.369 0.638
O 0.369 0.032 0.138
O 0.631 0.662 0.638
O 0.338 0.369 0.862

Calculated values
DOS at the Fermi energy   5.35 states/eV/f.u.
Space group   No. 163
Raw formation energy   -2.363 eV per atom

=====

[3]
A relaxed CePrTe2O crystal, computed with PBE.

a = 4.252 Å, b = 4.252 Å, c = 16.175 Å
α = 90.00°, β = 90.00°, γ = 90.00°
Element x y z (fractional)
Ce 0.500 0.000 0.569
Ce 0.000 0.500 0.431
Pr 0.500 0.000 0.135
Pr 0.000 0.500 0.865
Te 0.000 0.500 0.676
Te 0.000 0.500 0.083
Te 0.500 0.000 0.917
Te 0.500 0.000 0.324
O 0.000 0.000 0.500
O 0.500 0.500 0.500

Calculated values
DOS at the Fermi energy   7.44 states/eV/f.u.
Space group   No. 129
Raw formation energy   -2.068 eV per atom

=====

[4]
A relaxed CePrTlO2 crystal, computed with PBE.

a = 4.018 Å, b = 4.018 Å, c = 7.437 Å
α = 105.67°, β = 105.67°, γ = 90.00°
Element x y z (fractional)
Ce 0.166 0.166 0.332
Pr 0.839 0.839 0.677
Tl 0.505 0.505 0.010
O 0.745 0.245 0.490
O 0.245 0.745 0.490

Calculated values
DOS at the Fermi energy   3.81 states/eV/f.u.
Space group   No. 107
Raw formation energy   -2.360 eV per atom